Entry 1:
MnTc2Mo: relaxed, GGA-PBE.

a = 5.3068 Å, b = 4.3903 Å, c = 5.3063 Å
α = 90.00°, β = 109.91°, γ = 90.00°
With the nearest neighbours (Å) after each atom.
Element x y z (fractional)
Mn 0.3790 0.2500 0.8788  4 Tc 2.63-2.68, 2 Mn 2.65, 2 Mo 2.68
Mn 0.6210 0.7500 0.1212  4 Tc 2.63-2.68, 2 Mn 2.65, 2 Mo 2.68
Tc 0.8743 0.2500 0.8801  2 Mo 2.62-2.69, 2 Mn 2.63-2.68, 4 Tc 2.66-2.69
Tc 0.1257 0.7500 0.1199  2 Mo 2.62-2.69, 2 Mn 2.63-2.68, 4 Tc 2.66-2.69
Tc 0.3801 0.2500 0.3741  2 Mo 2.62-2.69, 2 Mn 2.63-2.68, 4 Tc 2.66-2.69
Tc 0.6199 0.7500 0.6259  2 Mo 2.62-2.69, 2 Mn 2.63-2.68, 4 Tc 2.66-2.69
Mo 0.8728 0.2500 0.3728  4 Tc 2.62-2.69, 2 Mn 2.68, 2 Mo 2.69
Mo 0.1272 0.7500 0.6272  4 Tc 2.62-2.69, 2 Mn 2.68, 2 Mo 2.69

Results
DFT formation energy	0.105	eV/atom
calculated total energy	-10.08	eV/atom
SG	Cmcm, No. 63

***

Entry 2:
MnTc2Mo: relaxed, GGA-PBE.

a = 4.3448 Å, b = 4.3448 Å, c = 4.3448 Å
α = 60.00°, β = 60.00°, γ = 60.00°
With the nearest neighbours (Å) after each atom.
Element x y z (fractional)
Mn 0.5000 0.5000 0.5000  4 Mo 2.66, 4 Tc 2.66
Mo 0.7500 0.7500 0.7500  4 Mn 2.66, 4 Tc 2.66
Tc 0.0000 0.0000 0.0000  4 Mo 2.66, 4 Tc 2.66
Tc 0.2500 0.2500 0.2500  4 Mn 2.66, 4 Tc 2.66

Results
DFT formation energy	0.143	eV/atom
calculated total energy	-10.04	eV/atom
SG	F-43m, No. 216

***

Entry 3:
Mn2TcMo: relaxed, GGA-PBE.

a = 3.0409 Å, b = 3.0380 Å, c = 5.9052 Å
α = 90.00°, β = 90.00°, γ = 90.00°
With the nearest neighbours (Å) after each atom.
Element x y z (fractional)
Mn 0.0000 0.0000 0.0001  4 Mo 2.61, 4 Tc 2.61
Mn 0.0000 0.0000 0.4999  4 Mo 2.61, 4 Tc 2.61
Mo 0.5000 0.5000 0.2500  8 Mn 2.61
Tc 0.5000 0.5000 0.7500  8 Mn 2.61

Results
ΔE to the lowest computed polymorph	42	meV/atom
DFT formation energy	0.135	eV/atom
calculated total energy	-9.75	eV/atom
SG	P4/mmm, No. 123

***

Entry 4:
Mn2TcMo: relaxed, GGA-PBE.

a = 4.2536 Å, b = 4.2536 Å, c = 4.2536 Å
α = 60.00°, β = 60.00°, γ = 60.00°
With the nearest neighbours (Å) after each atom.
Element x y z (fractional)
Mo 0.0000 0.0000 0.0000  8 Mn 2.60
Mn 0.2500 0.2500 0.2500  4 Tc 2.60, 4 Mo 2.60
Mn 0.7500 0.7500 0.7500  4 Mo 2.60, 4 Tc 2.60
Tc 0.5000 0.5000 0.5000  8 Mn 2.60

Results
ΔE to the lowest computed polymorph	34	meV/atom
DFT formation energy	0.127	eV/atom
calculated total energy	-9.76	eV/atom
SG	Fm-3m, No. 225

***

Entry 5:
Mn2TcMo: relaxed, GGA-PBE.

a = 3.0496 Å, b = 3.0495 Å, c = 5.8045 Å
α = 90.00°, β = 90.00°, γ = 90.00°
With the nearest neighbours (Å) after each atom.
Element x y z (fractional)
Mn 0.0000 0.0000 0.0074  4 Mn 2.56, 4 Tc 2.58, 1 Mo 2.76
Mn 0.5000 0.5000 0.2457  4 Mo 2.56, 4 Mn 2.56, 1 Tc 2.80
Mo 0.0000 0.0000 0.4834  5 Mn 2.56-2.76, 4 Tc 2.70
Tc 0.5000 0.5000 0.7636  5 Mn 2.58-2.80, 4 Mo 2.70

Results
ΔE to the lowest computed polymorph	3	meV/atom
DFT formation energy	0.096	eV/atom
calculated total energy	-9.79	eV/atom
SG	P4mm, No. 99

***

Entry 6:
Mn2TcMo: relaxed, GGA-PBE.

a = 5.1672 Å, b = 4.8715 Å, c = 2.6274 Å
α = 81.26°, β = 77.17°, γ = 118.06°
With the nearest neighbours (Å) after each atom.
Element x y z (fractional)
Mn 0.0000 0.0000 0.0000  2 Tc 2.59, 2 Mo 2.59, 4 Mn 2.63
Mn 0.5000 0.0000 0.5000  2 Mo 2.59, 2 Tc 2.59, 4 Mn 2.63
Mo 0.0000 0.5000 0.5000  4 Mn 2.59, 2 Tc 2.63, 2 Mo 2.63
Tc 0.5000 0.5000 0.0000  4 Mn 2.59, 2 Mo 2.63, 2 Tc 2.63

Results
ΔE to the lowest computed polymorph	20	meV/atom
DFT formation energy	0.113	eV/atom
calculated total energy	-9.77	eV/atom
SG	C2/m, No. 12

***

Entry 7:
MnTc2Mo: relaxed, GGA-PBE.

a = 5.8730 Å, b = 5.8730 Å, c = 5.8730 Å
α = 50.27°, β = 153.00°, γ = 138.42°
With the nearest neighbours (Å) after each atom.
Element x y z (fractional)
Mn 0.0000 0.0000 0.0000  2 Tc 2.23, 4 Mo 2.49
Tc 0.0000 0.2098 0.2098  1 Mn 2.23
Tc 0.0000 0.7902 0.7902  1 Mn 2.23
Mo 0.0000 0.5000 0.5000  4 Mn 2.49, 2 Mo 2.74

Results
DFT formation energy	0.560	eV/atom
calculated total energy	-9.62	eV/atom
SG	Immm, No. 71

***

Entry 8:
Mn2Tc2Mo: relaxed, GGA-PBE.

a = 6.9333 Å, b = 6.9333 Å, c = 2.8116 Å
α = 90.00°, β = 90.00°, γ = 90.00°
With the nearest neighbours (Å) after each atom.
Element x y z (fractional)
Mo 0.0000 0.0000 0.0000  4 Mn 2.71, 2 Mo 2.81, 8 Tc 2.95
Mo 0.5000 0.5000 0.0000  4 Mn 2.71, 2 Mo 2.81, 8 Tc 2.95
Mn 0.3672 0.8672 0.0000  6 Tc 2.43-2.51, 1 Mn 2.60, 2 Mo 2.71
Mn 0.8672 0.6328 0.0000  6 Tc 2.43-2.51, 1 Mn 2.60, 2 Mo 2.71
Mn 0.6328 0.1328 0.0000  6 Tc 2.43-2.51, 1 Mn 2.60, 2 Mo 2.71
Mn 0.1328 0.3672 0.0000  6 Tc 2.43-2.51, 1 Mn 2.60, 2 Mo 2.71
Tc 0.1653 0.6653 0.5000  6 Mn 2.43-2.51
Tc 0.6653 0.8347 0.5000  6 Mn 2.43-2.51
Tc 0.8347 0.3347 0.5000  6 Mn 2.43-2.51
Tc 0.3347 0.1653 0.5000  6 Mn 2.43-2.51

Results
DFT formation energy	0.151	eV/atom
calculated total energy	-9.83	eV/atom
SG	P4/mbm, No. 127